Record 1
4
Lattice="3.2098 0.0000 0.0000 0.0000 3.2098 0.0000 0.0000 0.0000 6.5454" Properties=species:S:1:pos:R:3 comment="InTcMo2 | Alexandria | GGA-PBE | relaxed" formation_enthalpy_0k_mev_per_atom=231 sg="P4mm (99)" final_energy_ev_per_fu=-33.84 pbc="T T T"
Mo 1.6049 1.6049 1.6780
Mo 0.0000 0.0000 0.1750
Tc 0.0000 0.0000 3.0830
In 1.6049 1.6049 4.8821


Record 2
4
Lattice="9.4583 0.0103 0.0061 9.0161 2.8583 0.0061 9.0161 1.4000 2.4919" Properties=species:S:1:pos:R:3 comment="InTcMo2 | Alexandria | GGA-PBE | relaxed" formation_enthalpy_0k_mev_per_atom=316 sg="R-3m (166)" final_energy_ev_per_fu=-33.50 pbc="T T T"
Mo 13.8915 2.1570 1.2654
Mo 27.3440 4.2458 2.4907
Tc 6.8726 1.0671 0.6260
In 20.6178 3.2014 1.8781


Record 3
4
Lattice="-8.5188 -3.5773 -1.7593 -7.1959 -4.3423 -4.2220 -6.9735 -6.0267 -1.8739" Properties=species:S:1:pos:R:3 comment="InTcMo2 | Alexandria | GGA-PBE | relaxed" formation_enthalpy_0k_mev_per_atom=337 sg="R3m (160)" final_energy_ev_per_fu=-33.42 pbc="T T T"
In -17.0642 -10.4892 -5.9080
Mo -22.6090 -13.8975 -7.8277
Mo -5.5884 -3.4352 -1.9348
Tc -11.4590 -7.0438 -3.9673


It is found that the volume values, taken in the order of the records, are 16.86; 16.74; 16.83 A^3/atom.